A relaxed structure of MgHgW2O8. Source: the Alexandria database, functional PBE+U.

Computed properties:
The value obtained for the total energy is -6.34 eV per atom. The space group is I-4m2, No. 119. The magnetization is 0.00 μB/atom.

Cell and atoms, written as CIF:
```
data_MgHgW2O8
_cell_length_a 6.113
_cell_length_b 6.113
_cell_length_c 6.113
_cell_angle_alpha 109.01
_cell_angle_beta 109.01
_cell_angle_gamma 110.39
_space_group_name_H-M_alt 'P 1'
_space_group_IT_number 1
_space_group_name_Hall 'P 1'
loop_
_atom_site_label
_atom_site_fract_x
_atom_site_fract_y
_atom_site_fract_z
Mg1 0.250 0.750 0.500
Hg1 0.000 0.000 0.000
W1 0.750 0.250 0.500
W2 0.500 0.500 0.000
O1 0.389 0.087 0.302
O2 0.351 0.562 0.212
O3 0.351 0.139 0.788
O4 0.785 0.087 0.698
O5 0.861 0.649 0.212
O6 0.913 0.215 0.302
O7 0.913 0.611 0.698
O8 0.438 0.649 0.788
```